# ScNiCl2, relaxed, DFT GGA-PBEsol
# E_form (uncorrected) ... -0.982 eV per atom
# Total magnetic moment ... 0.0 μB/f.u.
data_ScNiCl2
_chemical_formula_sum 'Sc1 Ni1 Cl2'
_cell_length_a 6.325
_cell_length_b 6.325
_cell_length_c 4.104
_cell_angle_alpha 91.74
_cell_angle_beta 91.74
_cell_angle_gamma 30.89
_symmetry_space_group_name_H-M 'P 1'
_symmetry_Int_Tables_number 1
loop_
_symmetry_equiv_pos_as_xyz
'x,y,z'
loop_
_atom_site_label
_atom_site_type_symbol
_atom_site_fract_x
_atom_site_fract_y
_atom_site_fract_z
_atom_site_occupancy
Sc1 Sc 0.000 0.000 0.000 1
Ni1 Ni 0.500 0.500 0.500 1
Cl1 Cl 0.356 0.356 0.774 1
Cl2 Cl 0.644 0.644 0.226 1

# ScNi2Cl, relaxed, DFT GGA-PBEsol
# E_form (uncorrected) ... -0.088 eV per atom
# Total magnetic moment ... 0.0 μB/f.u.
data_ScNi2Cl
_chemical_formula_sum 'Sc1 Ni2 Cl1'
_cell_length_a 4.297
_cell_length_b 4.297
_cell_length_c 4.297
_cell_angle_alpha 60.00
_cell_angle_beta 60.00
_cell_angle_gamma 60.00
_symmetry_space_group_name_H-M 'P 1'
_symmetry_Int_Tables_number 1
loop_
_symmetry_equiv_pos_as_xyz
'x,y,z'
loop_
_atom_site_label
_atom_site_type_symbol
_atom_site_fract_x
_atom_site_fract_y
_atom_site_fract_z
_atom_site_occupancy
Sc1 Sc 0.000 0.000 0.000 1
Ni1 Ni 0.500 0.500 0.500 1
Ni2 Ni 0.750 0.750 0.750 1
Cl1 Cl 0.250 0.250 0.250 1

# Sc2NiCl, relaxed, DFT GGA-PBEsol
# E_form (uncorrected) ... -0.757 eV per atom
# Total magnetic moment ... 0.0 μB/f.u.
data_Sc2NiCl
_chemical_formula_sum 'Sc2 Ni1 Cl1'
_cell_length_a 3.609
_cell_length_b 3.609
_cell_length_c 5.301
_cell_angle_alpha 90.00
_cell_angle_beta 90.00
_cell_angle_gamma 90.00
_symmetry_space_group_name_H-M 'P 1'
_symmetry_Int_Tables_number 1
loop_
_symmetry_equiv_pos_as_xyz
'x,y,z'
loop_
_atom_site_label
_atom_site_type_symbol
_atom_site_fract_x
_atom_site_fract_y
_atom_site_fract_z
_atom_site_occupancy
Sc1 Sc 0.000 0.000 0.000 1
Sc2 Sc 0.500 0.500 0.500 1
Ni1 Ni 0.000 0.000 0.500 1
Cl1 Cl 0.500 0.500 0.000 1

# ScNiCl, relaxed, DFT GGA-PBEsol
# E_form (uncorrected) ... -0.624 eV per atom
# Total magnetic moment ... 0.0 μB/f.u.
data_ScNiCl
_chemical_formula_sum 'Sc1 Ni1 Cl1'
_cell_length_a 5.957
_cell_length_b 5.957
_cell_length_c 5.957
_cell_angle_alpha 150.15
_cell_angle_beta 150.15
_cell_angle_gamma 42.73
_symmetry_space_group_name_H-M 'P 1'
_symmetry_Int_Tables_number 1
loop_
_symmetry_equiv_pos_as_xyz
'x,y,z'
loop_
_atom_site_label
_atom_site_type_symbol
_atom_site_fract_x
_atom_site_fract_y
_atom_site_fract_z
_atom_site_occupancy
Sc1 Sc 0.000 0.000 0.000 1
Ni1 Ni 0.630 0.630 0.000 1
Cl1 Cl 0.349 0.349 0.000 1

# ScNiCl2, relaxed, DFT GGA-PBEsol
# E_form (uncorrected) ... -0.606 eV per atom
# Total magnetic moment ... 0.0 μB/f.u.
data_ScNiCl2
_chemical_formula_sum 'Sc1 Ni1 Cl2'
_cell_length_a 5.603
_cell_length_b 5.603
_cell_length_c 5.603
_cell_angle_alpha 143.26
_cell_angle_beta 143.26
_cell_angle_gamma 52.94
_symmetry_space_group_name_H-M 'P 1'
_symmetry_Int_Tables_number 1
loop_
_symmetry_equiv_pos_as_xyz
'x,y,z'
loop_
_atom_site_label
_atom_site_type_symbol
_atom_site_fract_x
_atom_site_fract_y
_atom_site_fract_z
_atom_site_occupancy
Sc1 Sc 0.000 0.000 0.000 1
Ni1 Ni 0.250 0.750 0.500 1
Cl1 Cl 0.500 0.500 0.000 1
Cl2 Cl 0.750 0.250 0.500 1

# NiSe2Cl, relaxed, DFT GGA-PBEsol
# E_form (uncorrected) ... 0.077 eV per atom
# Total magnetic moment ... 0.0 μB/f.u.
data_NiSe2Cl
_chemical_formula_sum 'Ni2 Se4 Cl2'
_cell_length_a 6.273
_cell_length_b 6.273
_cell_length_c 6.273
_cell_angle_alpha 119.36
_cell_angle_beta 119.36
_cell_angle_gamma 91.11
_symmetry_space_group_name_H-M 'P 1'
_symmetry_Int_Tables_number 1
loop_
_symmetry_equiv_pos_as_xyz
'x,y,z'
loop_
_atom_site_label
_atom_site_type_symbol
_atom_site_fract_x
_atom_site_fract_y
_atom_site_fract_z
_atom_site_occupancy
Ni1 Ni 0.000 0.000 0.000 1
Ni2 Ni 0.750 0.250 0.500 1
Se1 Se 0.047 0.125 0.422 1
Se2 Se 0.375 0.953 0.078 1
Se3 Se 0.703 0.625 0.578 1
Se4 Se 0.875 0.297 0.922 1
Cl1 Cl 0.250 0.750 0.500 1
Cl2 Cl 0.500 0.500 0.000 1

Copy entry 6 word for word.
# NiSe2Cl, relaxed, DFT GGA-PBEsol
# E_form (uncorrected) ... 0.077 eV per atom
# Total magnetic moment ... 0.0 μB/f.u.
data_NiSe2Cl
_chemical_formula_sum 'Ni2 Se4 Cl2'
_cell_length_a 6.273
_cell_length_b 6.273
_cell_length_c 6.273
_cell_angle_alpha 119.36
_cell_angle_beta 119.36
_cell_angle_gamma 91.11
_symmetry_space_group_name_H-M 'P 1'
_symmetry_Int_Tables_number 1
loop_
_symmetry_equiv_pos_as_xyz
'x,y,z'
loop_
_atom_site_label
_atom_site_type_symbol
_atom_site_fract_x
_atom_site_fract_y
_atom_site_fract_z
_atom_site_occupancy
Ni1 Ni 0.000 0.000 0.000 1
Ni2 Ni 0.750 0.250 0.500 1
Se1 Se 0.047 0.125 0.422 1
Se2 Se 0.375 0.953 0.078 1
Se3 Se 0.703 0.625 0.578 1
Se4 Se 0.875 0.297 0.922 1
Cl1 Cl 0.250 0.750 0.500 1
Cl2 Cl 0.500 0.500 0.000 1

Please write out number 5 again, unchanged.
# ScNiCl2, relaxed, DFT GGA-PBEsol
# E_form (uncorrected) ... -0.606 eV per atom
# Total magnetic moment ... 0.0 μB/f.u.
data_ScNiCl2
_chemical_formula_sum 'Sc1 Ni1 Cl2'
_cell_length_a 5.603
_cell_length_b 5.603
_cell_length_c 5.603
_cell_angle_alpha 143.26
_cell_angle_beta 143.26
_cell_angle_gamma 52.94
_symmetry_space_group_name_H-M 'P 1'
_symmetry_Int_Tables_number 1
loop_
_symmetry_equiv_pos_as_xyz
'x,y,z'
loop_
_atom_site_label
_atom_site_type_symbol
_atom_site_fract_x
_atom_site_fract_y
_atom_site_fract_z
_atom_site_occupancy
Sc1 Sc 0.000 0.000 0.000 1
Ni1 Ni 0.250 0.750 0.500 1
Cl1 Cl 0.500 0.500 0.000 1
Cl2 Cl 0.750 0.250 0.500 1